1.
# TbNd2Hg4 (PBE-GGA, optimized geometry)
data_TbNd2Hg4
_chemical_formula_sum 'Tb2 Nd4 Hg8'
_space_group_name_H-M_alt 'I 4/m m m'
_space_group_IT_number 139
_space_group_name_Hall '-I 4 2'
_cell_length_a 5.656
_cell_length_b 5.656
_cell_length_c 15.694
_cell_angle_alpha 90.00
_cell_angle_beta 90.00
_cell_angle_gamma 90.00
loop_
_atom_site_label
_atom_site_type_symbol
_atom_site_fract_x
_atom_site_fract_y
_atom_site_fract_z
_atom_site_occupancy
Tb1 Tb 0.000 0.000 0.000 1
Nd1 Nd 0.000 0.000 0.394 1
Hg1 Hg 0.000 0.000 0.193 1
Hg2 Hg 0.000 0.500 0.000 1
# * ΔH_f (0 K): -0.24 eV/f.u.
# * energy relative to the lowest polymorph listed for this composition: 312.1 meV/atom


2.
# TbNd3Hg12 (PBE-GGA, optimized geometry)
data_TbNd3Hg12
_chemical_formula_sum 'Tb1 Nd3 Hg12'
_space_group_name_H-M_alt 'P 4/m m m'
_space_group_IT_number 123
_space_group_name_Hall '-P 4 2'
_cell_length_a 4.658
_cell_length_b 4.658
_cell_length_c 18.973
_cell_angle_alpha 90.00
_cell_angle_beta 90.00
_cell_angle_gamma 90.00
loop_
_atom_site_label
_atom_site_type_symbol
_atom_site_fract_x
_atom_site_fract_y
_atom_site_fract_z
_atom_site_occupancy
Tb1 Tb 0.000 0.000 0.000 1
Nd1 Nd 0.000 0.000 0.247 1
Nd2 Nd 0.000 0.000 0.500 1
Hg1 Hg 0.000 0.500 0.122 1
Hg2 Hg 0.000 0.500 0.374 1
Hg3 Hg 0.500 0.500 0.000 1
Hg4 Hg 0.500 0.500 0.247 1
Hg5 Hg 0.500 0.500 0.500 1
# * ΔH_f (0 K): -5.48 eV/f.u.


3.
# TbNd2Hg4 (PBE-GGA, optimized geometry)
data_TbNd2Hg4
_chemical_formula_sum 'Tb3 Nd6 Hg12'
_space_group_name_H-M_alt 'R -3 m'
_space_group_IT_number 166
_space_group_name_Hall '-R 3 2"'
_cell_length_a 5.1819
_cell_length_b 5.1819
_cell_length_c 26.8750
_cell_angle_alpha 90.00
_cell_angle_beta 90.00
_cell_angle_gamma 120.00
loop_
_atom_site_label
_atom_site_type_symbol
_atom_site_fract_x
_atom_site_fract_y
_atom_site_fract_z
_atom_site_occupancy
Tb1 Tb 0.0000 0.0000 0.0000 1
Nd1 Nd 0.0000 0.0000 0.2439 1
Hg1 Hg 0.0000 0.0000 0.1263 1
Hg2 Hg 0.0000 0.0000 0.3711 1
# * ΔH_f (0 K): -2.42 eV/f.u.
# * energy relative to the lowest polymorph listed for this composition: 0.0 meV/atom


4.
# TbNd4Hg3 (PBE-GGA, optimized geometry)
data_TbNd4Hg3
_chemical_formula_sum 'Tb2 Nd8 Hg6'
_space_group_name_H-M_alt 'P m m a'
_space_group_IT_number 51
_cell_length_a 11.150
_cell_length_b 7.182
_cell_length_c 5.758
_cell_angle_alpha 90.00
_cell_angle_beta 90.00
_cell_angle_gamma 90.00
loop_
_space_group_symop_operation_xyz
'x,y,z'
'-x,-y,-z'
'-x+1/2,-y,z'
'x+1/2,y,-z'
'x+1/2,-y,-z'
'-x+1/2,y,z'
'-x,y,-z'
'x,-y,z'
loop_
_atom_site_label
_atom_site_type_symbol
_atom_site_fract_x
_atom_site_fract_y
_atom_site_fract_z
_atom_site_occupancy
Tb1 Tb 0.000 0.000 0.000 1
Nd1 Nd 0.000 0.256 0.500 1
Nd2 Nd 0.250 0.260 0.097 1
Hg1 Hg 0.000 0.500 0.000 1
Hg2 Hg 0.250 0.000 0.621 1
Hg3 Hg 0.250 0.500 0.603 1
# * ΔH_f (0 K): -2.25 eV/f.u.


5.
# Tb4NdHg3 (PBE-GGA, optimized geometry)
data_Tb4NdHg3
_chemical_formula_sum 'Tb12 Nd3 Hg9'
_space_group_name_H-M_alt 'R -3 m'
_space_group_IT_number 166
_space_group_name_Hall '-R 3 2"'
_cell_length_a 5.2807
_cell_length_b 5.2807
_cell_length_c 27.9128
_cell_angle_alpha 90.00
_cell_angle_beta 90.00
_cell_angle_gamma 120.00
loop_
_atom_site_label
_atom_site_type_symbol
_atom_site_fract_x
_atom_site_fract_y
_atom_site_fract_z
_atom_site_occupancy
Tb1 Tb 0.0000 0.0000 0.1087 1
Tb2 Tb 0.0000 0.0000 0.3693 1
Nd1 Nd 0.0000 0.0000 0.5000 1
Hg1 Hg 0.0000 0.0000 0.0000 1
Hg2 Hg 0.0000 0.0000 0.2347 1
# * ΔH_f (0 K): -2.35 eV/f.u.


6.
# TbNd2Hg8 (PBE-GGA, optimized geometry)
data_TbNd2Hg8
_chemical_formula_sum 'Tb2 Nd4 Hg16'
_space_group_name_H-M_alt 'C 1 2/m 1'
_space_group_IT_number 12
_cell_length_a 16.089
_cell_length_b 5.081
_cell_length_c 7.297
_cell_angle_alpha 90.00
_cell_angle_beta 110.15
_cell_angle_gamma 90.00
loop_
_space_group_symop_operation_xyz
'x,y,z'
'-x,-y,-z'
'-x,y,-z'
'x,-y,z'
'x+1/2,y+1/2,z'
'-x+1/2,-y+1/2,-z'
'-x+1/2,y+1/2,-z'
'x+1/2,-y+1/2,z'
loop_
_atom_site_label
_atom_site_type_symbol
_atom_site_fract_x
_atom_site_fract_y
_atom_site_fract_z
_atom_site_occupancy
Tb1 Tb 0.000 0.000 0.000 1
Nd1 Nd 0.210 0.500 0.656 1
Hg1 Hg 0.020 0.500 0.729 1
Hg2 Hg 0.094 0.000 0.448 1
Hg3 Hg 0.152 0.500 0.165 1
Hg4 Hg 0.167 0.000 0.893 1
# * ΔH_f (0 K): -3.82 eV/f.u.


7.
# Tb9Nd4Hg11 (PBE-GGA, optimized geometry)
data_Tb9Nd4Hg11
_chemical_formula_sum 'Tb18 Nd8 Hg22'
_space_group_name_H-M_alt 'C m m m'
_space_group_IT_number 65
_space_group_name_Hall '-C 2 2'
_cell_length_a 15.993
_cell_length_b 22.531
_cell_length_c 3.596
_cell_angle_alpha 90.00
_cell_angle_beta 90.00
_cell_angle_gamma 90.00
loop_
_atom_site_label
_atom_site_type_symbol
_atom_site_fract_x
_atom_site_fract_y
_atom_site_fract_z
_atom_site_occupancy
Tb1 Tb 0.000 0.000 0.000 1
Tb2 Tb 0.112 0.407 0.000 1
Tb3 Tb 0.117 0.234 0.000 1
Nd1 Nd 0.161 0.085 0.000 1
Hg1 Hg 0.000 0.134 0.500 1
Hg2 Hg 0.000 0.319 0.500 1
Hg3 Hg 0.000 0.500 0.500 1
Hg4 Hg 0.213 0.500 0.500 1
Hg5 Hg 0.230 0.321 0.500 1
# * ΔH_f (0 K): -9.01 eV/f.u.


8.
# TbNdHg4 (PBE-GGA, optimized geometry)
data_TbNdHg4
_chemical_formula_sum 'Tb4 Nd4 Hg16'
_space_group_name_H-M_alt 'F -4 3 m'
_space_group_IT_number 216
_space_group_name_Hall 'F -4 2 3'
_cell_length_a 8.480
_cell_length_b 8.480
_cell_length_c 8.480
_cell_angle_alpha 90.00
_cell_angle_beta 90.00
_cell_angle_gamma 90.00
loop_
_atom_site_label
_atom_site_type_symbol
_atom_site_fract_x
_atom_site_fract_y
_atom_site_fract_z
_atom_site_occupancy
Tb1 Tb 0.000 0.000 0.000 1
Nd1 Nd 0.250 0.250 0.250 1
Hg1 Hg 0.125 0.125 0.625 1
# * ΔH_f (0 K): -1.46 eV/f.u.
# * energy relative to the lowest polymorph listed for this composition: 112.1 meV/atom


9.
# TbNdHg6 (PBE-GGA, optimized geometry)
data_TbNdHg6
_chemical_formula_sum 'Tb2 Nd2 Hg12'
_space_group_name_H-M_alt 'A m m 2'
_space_group_IT_number 38
_cell_length_a 5.043
_cell_length_b 6.774
_cell_length_c 11.620
_cell_angle_alpha 90.00
_cell_angle_beta 90.00
_cell_angle_gamma 90.00
loop_
_space_group_symop_operation_xyz
'x,y,z'
'-x,-y,z'
'-x,y,z'
'x,-y,z'
'x,y+1/2,z+1/2'
'-x,-y+1/2,z+1/2'
'-x,y+1/2,z+1/2'
'x,-y+1/2,z+1/2'
loop_
_atom_site_label
_atom_site_type_symbol
_atom_site_fract_x
_atom_site_fract_y
_atom_site_fract_z
_atom_site_occupancy
Tb1 Tb 0.000 0.000 0.000 1
Nd1 Nd 0.500 0.000 0.675 1
Hg1 Hg 0.000 0.000 0.503 1
Hg2 Hg 0.000 0.240 0.255 1
Hg3 Hg 0.500 0.000 0.168 1
Hg4 Hg 0.500 0.246 0.422 1
# * ΔH_f (0 K): -2.96 eV/f.u.


10.
# Tb3Nd4Hg4 (PBE-GGA, optimized geometry)
data_Tb3Nd4Hg4
_chemical_formula_sum 'Tb6 Nd8 Hg8'
_space_group_name_H-M_alt 'I m m m'
_space_group_IT_number 71
_space_group_name_Hall '-I 2 2'
_cell_length_a 3.662
_cell_length_b 9.318
_cell_length_c 19.238
_cell_angle_alpha 90.00
_cell_angle_beta 90.00
_cell_angle_gamma 90.00
loop_
_atom_site_label
_atom_site_type_symbol
_atom_site_fract_x
_atom_site_fract_y
_atom_site_fract_z
_atom_site_occupancy
Tb1 Tb 0.000 0.000 0.000 1
Tb2 Tb 0.000 0.500 0.097 1
Nd1 Nd 0.000 0.322 0.340 1
Hg1 Hg 0.000 0.000 0.272 1
Hg2 Hg 0.000 0.211 0.500 1
# * ΔH_f (0 K): -3.08 eV/f.u.


11.
# Tb4NdHg4 (PBE-GGA, optimized geometry)
data_Tb4NdHg4
_chemical_formula_sum 'Tb8 Nd2 Hg8'
_space_group_name_H-M_alt 'P 42/n'
_space_group_IT_number 86
_cell_length_a 9.600
_cell_length_b 9.600
_cell_length_c 5.559
_cell_angle_alpha 90.00
_cell_angle_beta 90.00
_cell_angle_gamma 90.00
loop_
_space_group_symop_operation_xyz
'x,y,z'
'-x,-y,-z'
'-y,x+1/2,z+1/2'
'y,-x+1/2,-z+1/2'
'-x+1/2,-y+1/2,z'
'x+1/2,y+1/2,-z'
'y+1/2,-x,z+1/2'
'-y+1/2,x,-z+1/2'
loop_
_atom_site_label
_atom_site_type_symbol
_atom_site_fract_x
_atom_site_fract_y
_atom_site_fract_z
_atom_site_occupancy
Tb1 Tb 0.099 0.839 0.160 1
Nd1 Nd 0.250 0.250 0.750 1
Hg1 Hg 0.042 0.145 0.340 1
# * ΔH_f (0 K): -2.35 eV/f.u.


12.
# TbNdHg3 (PBE-GGA, optimized geometry)
data_TbNdHg3
_chemical_formula_sum 'Tb4 Nd4 Hg12'
_space_group_name_H-M_alt 'C m c m'
_space_group_IT_number 63
_space_group_name_Hall '-C 2c 2'
_cell_length_a 3.597
_cell_length_b 29.373
_cell_length_c 4.987
_cell_angle_alpha 90.00
_cell_angle_beta 90.00
_cell_angle_gamma 90.00
loop_
_atom_site_label
_atom_site_type_symbol
_atom_site_fract_x
_atom_site_fract_y
_atom_site_fract_z
_atom_site_occupancy
Tb1 Tb 0.000 0.210 0.250 1
Nd1 Nd 0.000 0.076 0.750 1
Hg1 Hg 0.000 0.318 0.250 1
Hg2 Hg 0.000 0.377 0.750 1
Hg3 Hg 0.000 0.476 0.750 1
# * ΔH_f (0 K): -2.13 eV/f.u.
# * energy relative to the lowest polymorph listed for this composition: 0.0 meV/atom